A plane-wave DFT calculation with PBE-GGA was carried out for an optimized crystal structure of BeCr2Si.

Results
Mass density, kg/m³: 5405
Density of states at the Fermi level, states/eV per atom: 0.644
Raw total energy, eV/cell: -28.88
Energy above the most stable polymorph in this dataset, meV per atom: 43
Size of the total moment, μB/atom: 0.000

Cell: 2.4966 3.9200 4.4672 Å, 90.00 97.47 90.00°
Closest atoms and distances in Å follow each position.
Fractional positions:
Be1 0.0000 0.0000 0.0000  6 Cr 2.31-2.57, 2 Si 2.32, 2 Be 2.50
Cr1 0.4244 0.0000 0.4913  2 Be 2.31-2.53, 4 Cr 2.41-2.50, 4 Si 2.50-2.58
Cr2 0.6011 0.5000 0.2071  3 Si 2.40-2.51, 4 Cr 2.41-2.50, 4 Be 2.43-2.57
Si1 0.0095 0.5000 0.7233  2 Be 2.32, 7 Cr 2.40-2.58, 2 Si 2.50